(1)
VASP calculation (PBE) on an optimized crystal structure of Nd2NbN3.

E above lowest polymorph, meV per atom: 88.0

Unit cell a=9.9955 b=6.4970 c=5.7604 alpha=90.00 beta=90.00 gamma=90.00
Space group Cmcm (No. 63)
Symmetry-distinct sites (fractional):
Nd1 0.1726 0.1619 0.2500 x8
Nb1 0.0000 0.3998 0.7500 x4
N1 0.0000 0.1050 0.7500 x4
N2 0.1535 0.5000 0.0000 x8



(2)
VASP calculation (PBE) on an optimized crystal structure of NdNbN2.

Unit cell a=3.2401 b=3.2401 c=17.7938 alpha=90.00 beta=90.00 gamma=120.00
Space group R3m (No. 160, hexagonal axes)
Symmetry-distinct sites (fractional):
Nd1 0.0000 0.0000 0.0000 x3
Nb1 0.0000 0.0000 0.1753 x3
N1 0.0000 0.0000 0.4338 x3
N2 0.0000 0.0000 0.5777 x3



(3)
VASP calculation (PBE) on an optimized crystal structure of Nd4NbN5.

Unit cell a=7.8523 b=7.8523 c=5.1647 alpha=90.00 beta=90.00 gamma=90.00
Space group I4 (No. 79)
Symmetry-distinct sites (fractional):
Nd1 0.1055 0.6966 0.0000 x8
Nb1 0.0000 0.0000 0.5537 x2
N1 0.0000 0.0000 0.9278 x2
N2 0.0906 0.7317 0.5049 x8



(4)
VASP calculation (PBE) on an optimized crystal structure of NdNbN2.

Unit cell a=3.2030 b=3.2030 c=11.3726 alpha=90.00 beta=90.00 gamma=90.00
Space group I-4m2 (No. 119)
Symmetry-distinct sites (fractional):
Nd1 0.0000 0.0000 0.0000 x2
Nb1 0.0000 0.5000 0.7500 x2
N1 0.0000 0.0000 0.3648 x4



Number 1: E_form (uncorrected) -1.113 eV/atom. Number 2: E_form (uncorrected) -1.059 eV/atom. Number 3: E_form (uncorrected) -1.271 eV/atom. Number 4: E_form (uncorrected) -0.792 eV/atom.